# 1
Crystalline TmSc2Nb at its relaxed geometry, computed with GGA-PBE.

a = 3.6758 Å, b = 3.6758 Å, c = 6.9578 Å
α = 90.00°, β = 90.00°, γ = 90.00°
Last column: nearest neighbours and their distance in Å.
Space group P4/mmm (No. 123)
One atom of each set of equivalent atoms:
Tm (0.0000, 0.0000, 0.0000)  8 Sc 3.29, 2 Nb 3.48, 4 Tm 3.68
Sc (0.5000, 0.5000, 0.2905)  1 Sc 2.91, 4 Nb 2.98
Nb (0.0000, 0.0000, 0.5000)  8 Sc 2.98

**Energy above the lowest structure with this stoichiometry**: 0 meV per atom
**DOS(E_F)**: 4.42 states/eV/f.u.
**Energy of formation from the pure elements**: 144.3 meV per atom

***

# 2
Crystalline LaAl2Zn at its relaxed geometry, computed with GGA-PBE.

a = 3.1854 Å, b = 3.7391 Å, c = 7.1226 Å
α = 90.00°, β = 90.00°, γ = 90.00°
Last column: nearest neighbours and their distance in Å.
Space group Pmm2 (No. 25)
One atom of each set of equivalent atoms:
La (0.0000, 0.0000, 0.0000)  2 La 3.19, 4 Zn 3.29, 5 Al 3.31-3.49
Al (0.0000, 0.0000, 0.4905)  4 Zn 2.78, 4 Al 2.83
Al (0.5000, 0.5000, 0.6888)  1 Zn 2.72, 4 Al 2.83
Zn (0.5000, 0.5000, 0.3064)  5 Al 2.72-2.78

**DOS(E_F)**: 2.67 states/eV/f.u.
**Energy of formation from the pure elements**: -197.9 meV per atom

***

# 3
Crystalline MgRe2Te at its relaxed geometry, computed with GGA-PBE.

a = 3.0680 Å, b = 3.0680 Å, c = 8.2537 Å
α = 90.00°, β = 90.00°, γ = 90.00°
Last column: nearest neighbours and their distance in Å.
Space group P4mm (No. 99)
One atom of each set of equivalent atoms:
Mg (0.0000, 0.0000, 0.0000)  4 Re 2.84, 4 Mg 3.07
Re (0.0000, 0.0000, 0.4021)  4 Re 2.63
Re (0.5000, 0.5000, 0.2228)  4 Re 2.63, 4 Mg 2.84
Te (0.5000, 0.5000, 0.6498)  4 Re 2.98, 4 Te 3.07

**ΔE_f (raw)**: 0.28 eV/atom
**Energy above the lowest structure with this stoichiometry**: 67 meV per atom
**DOS(E_F)**: 2.63 states/eV/f.u.

***

# 4
Crystalline CaAsBr at its relaxed geometry, computed with GGA-PBE.

a = 4.3366 Å, b = 4.5472 Å, c = 11.3381 Å
α = 95.33°, β = 90.07°, γ = 118.46°
Last column: nearest neighbours and their distance in Å.
Space group P-1 (No. 2)
One atom of each set of equivalent atoms:
Ca (0.0712, 0.1437, 0.2932)  3 Br 2.92-3.00, 4 As 2.96-3.22
As (0.2128, 0.4253, 0.5453)  2 As 2.50
Br (0.3826, 0.7668, 0.1674)  3 Ca 2.92-3.00

**ΔE_f (raw)**: -1.29 eV/atom
**Energy above the lowest structure with this stoichiometry**: 0 meV per atom
**DOS(E_F)**: 0.70 states/eV/f.u.

***

# 5
Crystalline Sr3ScRu at its relaxed geometry, computed with GGA-PBE.

a = 6.0661 Å, b = 6.0661 Å, c = 6.0661 Å
α = 90.00°, β = 90.00°, γ = 90.00°
Last column: nearest neighbours and their distance in Å.
Space group Pm-3m (No. 221)
One atom of each set of equivalent atoms:
Sr (0.0000, 0.0000, 0.5000)  2 Sc 3.03
Sc (0.0000, 0.0000, 0.0000)  6 Sr 3.03
Ru (0.5000, 0.5000, 0.5000)  12 Sr 4.29

**Energy above the lowest structure with this stoichiometry**: 986 meV per atom
**DOS(E_F)**: 6.79 states/eV/f.u.
**Energy of formation from the pure elements**: 1513.3 meV per atom

***

# 6
Crystalline Ti2TlOsBr at its relaxed geometry, computed with GGA-PBE.

a = 4.6314 Å, b = 4.6314 Å, c = 4.6958 Å
α = 90.00°, β = 90.00°, γ = 90.00°
Last column: nearest neighbours and their distance in Å.
Space group P4/mmm (No. 123)
One atom of each set of equivalent atoms:
Ti (0.0000, 0.5000, 0.0000)  2 Br 2.32
Tl (0.0000, 0.0000, 0.5000)  4 Os 3.27, 8 Ti 3.30
Os (0.5000, 0.5000, 0.5000)  2 Br 2.35
Br (0.5000, 0.5000, 0.0000)  4 Ti 2.32, 2 Os 2.35

**ΔE_f (raw)**: 0.89 eV/atom
**DOS(E_F)**: 2.95 states/eV/f.u.

***

Number 1: VASP energy -6.657 eV/atom. Number 2: VASP energy -3.620 eV/atom. Number 3: VASP energy -7.129 eV/atom. Number 4: VASP energy -4.061 eV/atom. Number 5: VASP energy -2.617 eV/atom. Number 6: VASP energy -5.319 eV/atom.